This record from the Alexandria database describes Mn2BeAlPd after structural relaxation. The functional is PBE.

Computed properties:
E_tot (eV/atom): -5.2482
Density (g/cm3): 4.92
Space-group type: P4/mmm, No. 123
Formation energy from the elements (meV/atom): 952.0

Unit cell a=4.524 b=4.524 c=4.158 alpha=90.00 beta=90.00 gamma=90.00
Positions (direct):
Mn (0.000, 0.500, 0.000)
Mn (0.500, 0.000, 0.000)
Be (0.000, 0.000, 0.500)
Al (0.000, 0.000, 0.000)
Pd (0.500, 0.500, 0.500)

This record from the Alexandria database describes La4Pm3Nd8 after structural relaxation. The functional is PBE.

Computed properties:
E_tot (eV/atom): -4.4997
Density (g/cm3): 6.50
Space-group type: C2/m, No. 12
Formation energy from the elements (meV/atom): 307.3

Unit cell a=9.539 b=9.539 c=6.977 alpha=111.45 beta=111.45 gamma=86.92
Positions (direct):
La (0.000, 0.000, 0.000)
La (0.000, 0.000, 0.500)
La (0.000, 0.500, 0.000)
La (0.500, 0.000, 0.000)
Pm (0.000, 0.500, 0.500)
Pm (0.500, 0.000, 0.500)
Pm (0.500, 0.500, 0.500)
Nd (0.256, 0.744, 0.500)
Nd (0.263, 0.263, 0.515)
Nd (0.271, 0.271, 0.992)
Nd (0.356, 0.644, 0.000)
Nd (0.644, 0.356, 0.000)
Nd (0.729, 0.729, 0.008)
Nd (0.737, 0.737, 0.485)
Nd (0.744, 0.256, 0.500)

This record from the Alexandria database describes RbZrTi2H after structural relaxation. The functional is PBE.

Computed properties:
E_tot (eV/atom): -4.1356
Density (g/cm3): 2.62
Space-group type: P4/mmm, No. 123

Unit cell a=4.812 b=4.812 c=7.492 alpha=90.00 beta=90.00 gamma=90.00
Positions (direct):
Rb (0.000, 0.000, 0.000)
Zr (0.000, 0.000, 0.500)
Ti (0.000, 0.500, 0.500)
Ti (0.500, 0.000, 0.500)
H (0.500, 0.500, 0.000)

This record from the Alexandria database describes NiOsBr2 after structural relaxation. The functional is PBE.

Computed properties:
E_tot (eV/atom): -3.9195
Density (g/cm3): 9.22
Space-group type: Pmmm, No. 47
Energy relative to the lowest polymorph listed for this composition (meV per atom): 722
Raw formation energy (meV per atom): 1170

Unit cell a=2.991 b=4.184 c=5.883 alpha=90.00 beta=90.00 gamma=90.00
Positions (direct):
Ni (0.000, 0.000, 0.000)
Os (0.500, 0.000, 0.500)
Br (0.000, 0.500, 0.500)
Br (0.500, 0.500, 0.000)

This record from the Alexandria database describes ZrSc2MnS6 after structural relaxation. The functional is PBE.

Computed properties:
E_tot (eV/atom): -6.9929
Density (g/cm3): 3.38
Space-group type: R3, No. 146
Raw formation energy (meV per atom): -1478

Unit cell a=6.952 b=6.952 c=6.952 alpha=55.07 beta=55.07 gamma=55.07
Positions (direct):
Zr (0.000, 0.000, 0.000)
Sc (0.310, 0.310, 0.310)
Sc (0.809, 0.809, 0.809)
Mn (0.504, 0.504, 0.504)
S (0.099, 0.719, 0.400)
S (0.216, 0.592, 0.903)
S (0.400, 0.099, 0.719)
S (0.592, 0.903, 0.216)
S (0.719, 0.400, 0.099)
S (0.903, 0.216, 0.592)

This record from the Alexandria database describes AgP2SeO after structural relaxation. The functional is PBE.

Computed properties:
E_tot (eV/atom): -3.8053
Density (g/cm3): 4.92
Space-group type: P4/mmm, No. 123
Energy relative to the lowest polymorph listed for this composition (meV per atom): 0
Raw formation energy (meV per atom): 617

Unit cell a=4.955 b=4.955 c=3.639 alpha=90.00 beta=90.00 gamma=90.00
Positions (direct):
Ag (0.000, 0.000, 0.000)
P (0.000, 0.500, 0.500)
P (0.500, 0.000, 0.500)
Se (0.500, 0.500, 0.500)
O (0.500, 0.500, 0.000)